[1]
## La3SmHo4 (PBE-GGA)

Data for an optimized crystal structure of La3SmHo4.

Size of the total moment   0.0 Bohr magnetons per cell
Distance to the lowest polymorph of the same formula   0 meV/atom
E_form   0.034 eV per atom

Geometry as POSCAR:
```
La3SmHo4
1.0
-5.599 -1.007 2.809
-0.220 -6.750 -2.858
5.461 -4.156 9.395
La Ho Sm
6 8 2
direct
0.648 0.628 0.000
0.980 0.626 0.751
0.480 0.374 0.749
0.980 0.626 0.249
0.148 0.372 0.500
0.480 0.374 0.251
0.650 0.121 0.000
0.481 0.880 0.251
0.648 0.120 0.500
0.481 0.880 0.749
0.981 0.120 0.249
0.981 0.120 0.751
0.150 0.879 0.500
0.148 0.880 0.000
0.648 0.632 0.500
0.148 0.368 0.000
```



[2]
## K2GaBSe4 (PBE-GGA)

Data for an optimized crystal structure of K2GaBSe4.

Size of the total moment   0.0 Bohr magnetons per cell
ΔE_f (raw)   -0.724 eV per atom

Geometry as POSCAR:
```
K2GaBSe4
1.0
-2.025 -4.520 3.260
-3.873 -4.973 -3.909
9.013 -8.338 -0.572
K B Se Ga
4 2 8 2
direct
0.817 0.000 0.366
0.567 0.500 0.866
0.183 0.000 0.634
0.933 0.500 0.134
0.250 0.500 0.500
0.500 0.000 0.000
0.178 0.323 0.399
0.899 0.677 0.601
0.572 0.177 0.101
0.851 0.823 0.899
0.423 0.677 0.399
0.500 0.323 0.601
0.250 0.177 0.899
0.327 0.823 0.101
0.750 0.500 0.500
0.000 0.000 0.000
```



[3]
## KMnW2S8 (PBE-GGA)

Data for an optimized crystal structure of KMnW2S8.

Size of the total moment   4.0 Bohr magnetons per cell
ΔE_f (raw)   -0.502 eV per atom

Geometry as POSCAR:
```
KMnW2S8
1.0
6.196 0.000 0.000
3.098 5.366 0.000
3.098 1.789 9.343
S W K Mn
8 2 1 1
direct
0.268 0.947 0.156
0.629 0.268 0.156
0.371 0.732 0.844
0.947 0.629 0.156
0.179 0.179 0.462
0.732 0.053 0.844
0.053 0.371 0.844
0.821 0.821 0.538
0.743 0.743 0.771
0.257 0.257 0.229
0.500 0.500 0.500
0.000 0.000 0.000
```



[4]
## Pr2GeSe (PBE-GGA)

Data for an optimized crystal structure of Pr2GeSe.

Size of the total moment   0.0 Bohr magnetons per cell
ΔE_f (raw)   -1.413 eV per atom
Distance to the lowest polymorph of the same formula   0 meV/atom

Geometry as POSCAR:
```
Pr2GeSe
1.0
-0.257 -4.238 -0.707
2.877 0.357 -3.181
4.503 -0.936 3.967
Pr Ge Se
2 1 1
direct
0.752 0.252 0.998
0.253 0.753 0.498
0.252 0.752 0.998
0.753 0.253 0.498
```



[5]
## K2TbInBr6 (PBE-GGA)

Data for an optimized crystal structure of K2TbInBr6.

Size of the total moment   0.0 Bohr magnetons per cell
ΔE_f (raw)   -1.600 eV per atom

Geometry as POSCAR:
```
K2TbInBr6
1.0
8.099 0.004 0.001
4.053 7.014 0.000
4.051 2.339 7.010
Br K Tb In
6 2 1 1
direct
0.208 0.982 0.246
0.982 0.564 0.247
0.118 0.431 0.779
0.563 0.208 0.247
0.672 0.118 0.779
0.431 0.671 0.779
0.530 0.530 0.409
0.020 0.020 0.941
0.323 0.323 0.030
0.814 0.814 0.559
```



[6]
## Pm3Nd4HoSe8 (PBE-GGA)

Data for an optimized crystal structure of Pm3Nd4HoSe8.

Size of the total moment   0.0 Bohr magnetons per cell
ΔE_f (raw)   -1.817 eV per atom

Geometry as POSCAR:
```
Pm3Nd4HoSe8
1.0
-1.093 0.449 8.302
4.253 -7.191 0.949
3.494 6.412 -4.122
Nd Se Ho Pm
4 8 1 3
direct
0.000 0.000 0.500
0.500 0.000 0.000
0.000 0.000 0.000
0.500 0.000 0.500
0.756 0.258 0.512
0.244 0.742 0.998
0.749 0.747 0.498
0.246 0.258 0.002
0.244 0.742 0.488
0.756 0.258 0.002
0.754 0.742 0.998
0.251 0.253 0.502
0.000 0.500 0.000
0.000 0.500 0.500
0.500 0.500 0.500
0.500 0.500 0.000
```



[7]
## Ho2ZnHg (PBE-GGA)

Data for an optimized crystal structure of Ho2ZnHg.

Size of the total moment   0.0 Bohr magnetons per cell
Distance to the lowest polymorph of the same formula   0 meV/atom
E_form   -0.415 eV per atom

Geometry as POSCAR:
```
Ho2ZnHg
1.0
3.596 0.000 0.000
0.000 3.596 0.000
0.000 0.000 7.377
Zn Ho Hg
1 2 1
direct
0.500 0.500 0.000
0.000 0.000 0.234
0.000 0.000 0.766
0.500 0.500 0.500
```



[8]
## Tb6ScZn2 (PBE-GGA)

Data for an optimized crystal structure of Tb6ScZn2.

Size of the total moment   0.0 Bohr magnetons per cell
E_form   -0.128 eV per atom

Geometry as POSCAR:
```
Tb6ScZn2
1.0
-3.396 0.750 -0.875
-3.030 -5.646 -0.430
-4.820 -1.306 10.234
Zn Tb Sc
2 6 1
direct
0.359 0.096 0.186
0.641 0.904 0.814
0.314 0.495 0.878
0.972 0.730 0.326
0.314 0.781 0.592
0.686 0.505 0.122
0.686 0.219 0.408
0.028 0.270 0.674
0.000 0.000 0.000
```



[9]
## DyTm2PaAs4 (PBE-GGA)

Data for an optimized crystal structure of DyTm2PaAs4.

Size of the total moment   0.3 Bohr magnetons per cell
E_form   -1.397 eV per atom

Geometry as POSCAR:
```
DyTm2PaAs4
1.0
-0.158 0.121 4.083
-6.638 -2.367 -0.187
0.009 -7.063 0.210
Dy As Tm Pa
1 4 2 1
direct
0.000 0.500 0.500
0.500 0.752 0.247
0.500 0.248 0.753
0.000 0.752 0.750
0.000 0.248 0.250
0.000 0.000 0.000
0.500 0.000 0.500
0.500 0.500 0.000
```



[10]
## TbThRe (PBE-GGA)

Data for an optimized crystal structure of TbThRe.

Size of the total moment   0.0 Bohr magnetons per cell
Distance to the lowest polymorph of the same formula   59 meV/atom
E_form   0.136 eV per atom

Geometry as POSCAR:
```
TbThRe
1.0
-2.354 -1.606 3.311
5.140 -2.448 2.467
0.977 5.381 3.305
Tb Re Th
2 2 2
direct
0.000 0.750 0.365
0.000 0.250 0.635
0.000 0.500 0.000
0.000 0.000 0.000
0.500 0.250 0.162
0.500 0.750 0.838
```



[11]
## SiSb2Te (PBE-GGA)

Data for an optimized crystal structure of SiSb2Te.

Size of the total moment   0.0 Bohr magnetons per cell
ΔE_f (raw)   0.426 eV per atom
Distance to the lowest polymorph of the same formula   341 meV/atom

Geometry as POSCAR:
```
SiSb2Te
1.0
3.235 -0.009 0.000
-1.166 3.018 0.000
0.000 0.000 10.326
Sb Te Si
2 1 1
direct
0.000 0.000 0.007
0.500 0.500 0.278
0.500 0.500 0.712
0.000 0.000 0.503
```



[12]
## CaCuSe3 (PBE-GGA)

Data for an optimized crystal structure of CaCuSe3.

Size of the total moment   0.0 Bohr magnetons per cell
ΔE_f (raw)   0.405 eV per atom
Distance to the lowest polymorph of the same formula   886 meV/atom

Geometry as POSCAR:
```
CaCuSe3
1.0
-2.817 2.635 3.814
-4.632 -1.784 -2.189
0.191 -4.393 3.176
Ca Se Cu
1 3 1
direct
0.000 0.000 0.000
0.000 0.500 0.000
0.000 0.000 0.500
0.500 0.000 0.000
0.500 0.500 0.500
```